MnSiNi2 | PBE | optimized geometry

```
MnSiNi2
1.0
2.7121 0.0000 0.0000
0.0000 2.7121 0.0000
0.0000 0.0000 6.1107
Mn Si Ni
1 1 2
Cartesian
0.0000 0.0000 0.0000
1.3561 1.3561 4.5795
0.0000 0.0000 3.2282
1.3561 1.3561 1.5808
```

Calculated values
Space group: No. 99
M_tot in μB per cell: 2.65
Formation energy without anion corrections in eV per atom: -0.22


Mn3SiNi | PBE | optimized geometry

```
Mn3SiNi
1.0
6.0650 0.0000 0.0000
0.0000 6.0650 0.0000
0.0000 0.0000 6.0650
Mn Si Ni
12 4 4
Cartesian
0.2722 0.7430 4.8278
0.7430 4.8278 0.2722
1.2372 3.3047 2.2896
1.7953 2.7603 5.3221
2.2896 1.2372 3.3047
2.7603 5.3221 1.7953
3.3047 2.2896 1.2372
3.7755 4.2697 5.7929
4.2697 5.7929 3.7755
4.8278 0.2722 0.7430
5.3221 1.7953 2.7603
5.7929 3.7755 4.2697
0.3842 5.6808 2.6483
2.6483 0.3842 5.6808
3.4168 3.4168 3.4168
5.6808 2.6483 0.3842
1.1292 1.1292 1.1292
1.9033 4.9358 4.1618
4.1618 1.9033 4.9358
4.9358 4.1618 1.9033
```

Calculated values
Polymorph energy (0 for the lowest one) in eV per atom: 0.000
Space group: No. 198
M_tot in μB per cell: 15.29
Formation energy without anion corrections in eV per atom: -0.20


Mn4SiNi | PBE | optimized geometry

```
Mn4SiNi
1.0
0.0000 3.2453 3.2453
3.2453 0.0000 3.2453
3.2453 3.2453 0.0000
Mn Si Ni
4 1 1
Cartesian
2.4390 2.4390 2.4390
4.0517 4.0517 2.4390
4.0517 2.4390 4.0517
2.4390 4.0517 4.0517
0.0000 0.0000 0.0000
4.8680 4.8680 4.8680
```

Calculated values
Space group: No. 216
M_tot in μB per cell: 0.04
Formation energy without anion corrections in eV per atom: 0.21


MnSiNi | PBE | optimized geometry

```
MnSiNi
1.0
0.0000 2.7372 2.7372
2.7372 0.0000 2.7372
2.7372 2.7372 0.0000
Mn Si Ni
1 1 1
Cartesian
0.0000 0.0000 0.0000
1.3686 1.3686 1.3686
4.1058 4.1058 4.1058
```

Calculated values
Space group: No. 216
M_tot in μB per cell: 2.60
Formation energy without anion corrections in eV per atom: 0.03


SmMnSi3Ni | PBE | optimized geometry

```
SmMnSi3Ni
1.0
3.0110 -6.0311 0.0000
3.0110 6.0311 0.0000
0.0000 0.0000 5.6885
Sm Mn Si Ni
2 2 6 2
Cartesian
3.0110 3.0799 4.2664
3.0110 -3.0799 1.4221
3.0110 0.4254 1.4221
3.0110 -0.4254 4.2664
1.2326 0.0000 0.0000
1.2326 0.0000 2.8442
3.0110 2.5680 1.4221
3.0110 -2.5680 4.2664
4.7895 0.0000 0.0000
4.7895 0.0000 2.8442
3.0110 4.6940 1.4221
3.0110 -4.6940 4.2664
```

Calculated values
Space group: No. 63
M_tot in μB per cell: 2.05
Formation energy without anion corrections in eV per atom: -0.33


Sm2MnSi3Ni12 | PBE | optimized geometry

```
Sm2MnSi3Ni12
1.0
3.0347 1.7521 8.2543
-3.0347 1.7521 8.2543
0.0000 -3.5042 8.2543
Sm Mn Si Ni
2 1 3 12
Cartesian
0.0000 0.0000 3.7374
0.0000 0.0000 21.0256
0.0000 0.0000 12.3815
-1.5173 -0.8760 8.2543
-1.5173 0.8760 16.5087
0.0000 1.7521 8.2543
0.0000 -2.0914 7.1567
-1.8112 1.0457 7.1567
-1.2778 -0.7378 10.5897
-1.8112 -1.0457 17.6063
0.0000 -1.4755 14.1733
-1.2778 0.7378 14.1733
1.2778 -0.7377 10.5897
0.0000 1.4755 10.5897
1.8112 1.0457 7.1567
1.2778 0.7377 14.1733
1.8112 -1.0457 17.6063
0.0000 2.0914 17.6063
```

Calculated values
Space group: No. 166
M_tot in μB per cell: 4.23
Formation energy without anion corrections in eV per atom: -0.07


Tb2MnSi2Ni5 | PBE | optimized geometry

```
Tb2MnSi2Ni5
1.0
9.5552 0.0000 0.0000
0.0000 9.5552 0.0000
0.0000 0.0000 3.2804
Tb Mn Si Ni
4 2 4 10
Cartesian
1.7047 3.0729 0.0000
3.0729 7.8505 0.0000
6.4823 1.7047 0.0000
7.8505 6.4823 0.0000
0.0000 0.0000 0.0000
4.7776 4.7776 0.0000
1.1454 5.9230 0.0000
3.6322 1.1454 0.0000
5.9230 8.4098 0.0000
8.4098 3.6322 0.0000
0.0000 4.7776 1.6402
0.5350 7.5644 1.6402
1.9908 0.5350 1.6402
2.7868 5.3126 1.6402
4.2426 2.7868 1.6402
4.7776 0.0000 1.6402
5.3126 6.7684 1.6402
6.7684 4.2426 1.6402
7.5644 9.0202 1.6402
9.0202 1.9908 1.6402
```

Calculated values
Space group: No. 127
M_tot in μB per cell: 7.00
Formation energy without anion corrections in eV per atom: -0.39


Tb2MnSi3Ni12 | PBE | optimized geometry

```
Tb2MnSi3Ni12
1.0
3.0207 1.7440 8.2293
-3.0207 1.7440 8.2293
0.0000 -3.4880 8.2293
Tb Mn Si Ni
2 1 3 12
Cartesian
0.0000 0.0000 3.6979
0.0000 0.0000 20.9899
0.0000 0.0000 12.3439
-1.5104 -0.8720 8.2293
-1.5104 0.8720 16.4585
0.0000 1.7440 8.2293
0.0000 -2.0834 7.1287
-1.8043 1.0417 7.1287
-1.2934 -0.7468 10.5848
-1.8043 -1.0417 17.5591
0.0000 -1.4935 14.1030
-1.2934 0.7468 14.1030
1.2934 -0.7468 10.5848
0.0000 1.4935 10.5848
1.8043 1.0417 7.1287
1.2934 0.7468 14.1030
1.8043 -1.0417 17.5591
0.0000 2.0834 17.5591
```

Calculated values
Space group: No. 166
M_tot in μB per cell: 4.13
Formation energy without anion corrections in eV per atom: -0.07


Number 1: DFT total energy -0.4971 Ry/atom. Number 2: DFT total energy -0.5835 Ry/atom. Number 3: DFT total energy -0.5708 Ry/atom. Number 4: DFT total energy -0.4967 Ry/atom. Number 5: DFT total energy -0.4648 Ry/atom. Number 6: DFT total energy -0.4306 Ry/atom. Number 7: DFT total energy -0.4561 Ry/atom. Number 8: DFT total energy -0.4302 Ry/atom.